A relaxed Tb3Pr4Th2 crystal, computed with PBE-GGA.

The structure in extended XYZ format:
```
18
Lattice="6.209 0.097 0.523 0.719 9.527 3.513 0.314 -0.375 10.168" Properties=species:S:1:pos:R:3 pbc="T T T"
Tb 1.401 8.767 10.611
Tb 2.833 2.763 1.766
Tb 5.842 0.483 3.592
Tb 4.410 6.486 12.438
Tb 2.025 3.523 7.695
Tb 5.218 5.727 6.508
Pr 3.533 0.545 8.830
Pr 6.518 1.535 10.486
Pr 3.709 8.705 5.373
Pr 0.724 7.714 3.717
Pr 4.826 7.873 9.299
Pr 5.623 3.930 3.482
Pr 2.417 1.377 4.904
Pr 1.619 5.319 10.721
Th 1.865 6.913 7.506
Th 2.382 4.964 4.637
Th 5.377 2.336 6.697
Th 4.860 4.286 9.566
```

## Properties
Energy relative to the lowest polymorph listed for this composition in meV per atom: 33.9
ρ in g cm⁻³: 8.23
Energy of formation from the pure elements in meV per atom: 119